Record 1
Fe3RuAu, optimized geometry, DFT GGA-PBE; energy above the most stable polymorph in this dataset = 0.00 kJ per mole of atoms; energy of formation from the pure elements = 1346 meV/atom; E_tot = -6.2427 eV/atom
1.0
4.546 0.000 0.000
0.000 4.546 0.000
0.000 0.000 4.546
Fe Ru Au
3 1 1
direct
0.000 0.000 0.500
0.000 0.500 0.000
0.500 0.000 0.000
0.000 0.000 0.000
0.500 0.500 0.500

Record 2
Li2Si2Ag, optimized geometry, DFT GGA-PBE; energy above the most stable polymorph in this dataset = 16.75 kJ per mole of atoms; formation energy without anion corrections = 0.11 eV per atom; E_tot = -3.3914 eV/atom
1.0
7.452 0.000 0.000
0.000 7.452 0.000
0.000 0.000 2.777
Li Si Ag
4 4 2
direct
0.113 0.387 0.000
0.387 0.887 0.000
0.613 0.113 0.000
0.887 0.613 0.000
0.185 0.685 0.500
0.315 0.185 0.500
0.685 0.815 0.500
0.815 0.315 0.500
0.000 0.000 0.000
0.500 0.500 0.000

Record 3
PuBrCl2, optimized geometry, DFT GGA-PBE; energy above the most stable polymorph in this dataset = 0.00 kJ per mole of atoms; formation energy without anion corrections = -1.78 eV per atom; E_tot = -6.7026 eV/atom
1.0
3.882 -5.948 0.000
3.882 5.948 0.000
-3.352 0.000 6.424
Pu Br Cl
2 2 4
direct
0.091 0.909 0.500
0.909 0.091 0.000
0.688 0.853 0.217
0.853 0.688 0.717
0.003 0.504 0.244
0.139 0.274 0.786
0.274 0.139 0.286
0.504 0.003 0.744

Record 4
Si2WCl, optimized geometry, DFT GGA-PBE; energy above the most stable polymorph in this dataset = 62.45 kJ per mole of atoms; formation energy without anion corrections = 0.88 eV per atom; E_tot = -5.5308 eV/atom
1.0
-2.967 2.967 5.563
2.967 -2.967 5.563
2.967 2.967 -5.563
Si W Cl
4 2 2
direct
0.084 0.625 0.959
0.375 0.334 0.459
0.666 0.125 0.041
0.875 0.916 0.541
0.000 0.000 0.000
0.750 0.250 0.500
0.250 0.750 0.500
0.500 0.500 0.000

Question: The highest energy above the most stable polymorph in this dataset belongs to which entry?
Answer: Si2WCl

Copy entry 4 word for word.
Si2WCl, optimized geometry, DFT GGA-PBE; energy above the most stable polymorph in this dataset = 62.45 kJ per mole of atoms; formation energy without anion corrections = 0.88 eV per atom; E_tot = -5.5308 eV/atom
1.0
-2.967 2.967 5.563
2.967 -2.967 5.563
2.967 2.967 -5.563
Si W Cl
4 2 2
direct
0.084 0.625 0.959
0.375 0.334 0.459
0.666 0.125 0.041
0.875 0.916 0.541
0.000 0.000 0.000
0.750 0.250 0.500
0.250 0.750 0.500
0.500 0.500 0.000